Density functional theory data (PBE with a Hubbard U) for UMn2O4 after structural relaxation.

Computed properties:
- Magnetization: 11.978 μB/f.u.
- Final energy: -123.506 eV/cell

Lattice parameters (Å, degrees): 11.7945 3.6260 5.4138 90.00 107.56 90.00
Space group C2/m (No. 12)
One atom of each set of equivalent atoms:
U (0.0000, 0.0000, 0.0000) (multiplicity 2)
Mn (0.1474, 0.5000, 0.5385) (multiplicity 4)
O (0.0524, 0.5000, 0.7990) (multiplicity 4)
O (0.1613, 0.0000, 0.3384) (multiplicity 4)